(1)
## La2PmLu (GGA-PBE)

Data for crystalline La2PmLu at its relaxed geometry.

Summary:
Offset from the most stable computed form   0 meV/atom
Formation energy from the elements   15.5 meV per atom

Unit cell a=5.095 b=5.178 c=5.178 alpha=90.00 beta=90.00 gamma=90.00
Element x y z (fractional)
La 0.000 0.500 0.000
Lu 0.500 0.000 0.000
La 0.000 0.000 0.500
Pm 0.500 0.500 0.500

(2)
## LaPm4Lu (GGA-PBE)

Data for crystalline LaPm4Lu at its relaxed geometry.

Summary:
Formation energy from the elements   250.1 meV per atom

Unit cell a=6.693 b=6.693 c=6.693 alpha=60.00 beta=60.00 gamma=60.00
Element x y z (fractional)
Pm 0.626 0.122 0.626
Pm 0.626 0.626 0.122
Pm 0.122 0.626 0.626
La 0.250 0.250 0.250
Pm 0.626 0.626 0.626
Lu 0.000 0.000 0.000

(3)
## LaPmLuPu (GGA-PBE)

Data for crystalline LaPmLuPu at its relaxed geometry.

Summary:
Formation energy from the elements   199.6 meV per atom

Unit cell a=5.664 b=5.664 c=5.664 alpha=60.00 beta=60.00 gamma=60.00
Each line ends with the local moment (μB).
Element x y z (fractional)
Lu 0.750 0.750 0.750  -0.30
Pm 0.500 0.500 0.500  -0.26
La 0.000 0.000 0.000  -0.30
Pu 0.250 0.250 0.250  -5.65

(4)
## LaPmSmLu (GGA-PBE)

Data for crystalline LaPmSmLu at its relaxed geometry.

Summary:
Formation energy from the elements   118.1 meV per atom

Unit cell a=5.769 b=5.769 c=5.769 alpha=60.00 beta=60.00 gamma=60.00
Element x y z (fractional)
Sm 0.750 0.750 0.750
Pm 0.000 0.000 0.000
La 0.250 0.250 0.250
Lu 0.500 0.500 0.500

(5)
## LaTbPmLu (GGA-PBE)

Data for crystalline LaTbPmLu at its relaxed geometry.

Summary:
Formation energy from the elements   95.1 meV per atom

Unit cell a=5.748 b=5.748 c=5.748 alpha=60.00 beta=60.00 gamma=60.00
Element x y z (fractional)
La 0.250 0.250 0.250
Pm 0.750 0.750 0.750
Tb 0.000 0.000 0.000
Lu 0.500 0.500 0.500

(6)
## LaPmLuTl (GGA-PBE)

Data for crystalline LaPmLuTl at its relaxed geometry.

Summary:
Formation energy from the elements   -90.0 meV per atom

Unit cell a=5.588 b=5.588 c=5.588 alpha=60.00 beta=60.00 gamma=60.00
Each line ends with the local moment (μB).
Element x y z (fractional)
Tl 0.000 0.000 0.000  0.00
La 0.750 0.750 0.750  -0.12
Pm 0.250 0.250 0.250  -0.15
Lu 0.500 0.500 0.500  -0.21

(7)
## LaPmYLu (GGA-PBE)

Data for crystalline LaPmYLu at its relaxed geometry.

Summary:
Formation energy from the elements   84.6 meV per atom

Unit cell a=5.753 b=5.753 c=5.753 alpha=60.00 beta=60.00 gamma=60.00
Element x y z (fractional)
Lu 0.250 0.250 0.250
Pm 0.500 0.500 0.500
Y 0.750 0.750 0.750
La 0.000 0.000 0.000

(8)
## LaPmLuZn (GGA-PBE)

Data for crystalline LaPmLuZn at its relaxed geometry.

Summary:
Formation energy from the elements   -6.5 meV per atom

Unit cell a=5.442 b=5.442 c=5.442 alpha=60.00 beta=60.00 gamma=60.00
Element x y z (fractional)
La 0.500 0.500 0.500
Pm 0.000 0.000 0.000
Lu 0.750 0.750 0.750
Zn 0.250 0.250 0.250

The records above yield uncorrected energy values of -4.766 -4.492 -6.933 -4.611 -4.612 -4.231 -5.081 -3.875 eV per atom, respectively.